The following is a DFT calculation (GGA-PBE) of a relaxed structure of RbMnGe2S6.

a = 6.2911 Å, b = 9.5001 Å, c = 9.5001 Å
α = 92.38°, β = 77.51°, γ = 77.51°
Last column: nearest neighbours and their distance in Å.
Element x y z (fractional)
Rb  0.2500  0.8900  0.1100  10 S 3.49-3.78, 2 Mn 3.74
Rb  0.7500  0.1100  0.8900  10 S 3.49-3.78, 2 Mn 3.74
Mn  0.2500  0.2579  0.7421  4 S 2.22-2.35
Mn  0.7500  0.7421  0.2579  4 S 2.22-2.35
Ge  0.3187  0.7950  0.6417  4 S 2.23-2.31
Ge  0.1813  0.3583  0.2050  4 S 2.23-2.31
Ge  0.6813  0.2050  0.3583  4 S 2.23-2.31
Ge  0.8187  0.6417  0.7950  4 S 2.23-2.31
S  0.3278  0.0060  0.7514  1 Ge 2.24, 1 Mn 2.35
S  0.1722  0.2486  0.9940  1 Ge 2.24, 1 Mn 2.35
S  0.6722  0.9940  0.2486  1 Ge 2.24, 1 Mn 2.35
S  0.8278  0.7514  0.0060  1 Ge 2.24, 1 Mn 2.35
S  0.4568  0.6991  0.4133  1 Mn 2.22, 1 Ge 2.23
S  0.0432  0.5867  0.3009  1 Mn 2.22, 1 Ge 2.23
S  0.5432  0.3009  0.5867  1 Mn 2.22, 1 Ge 2.23
S  0.9568  0.4133  0.6991  1 Mn 2.22, 1 Ge 2.23
S  0.9499  0.7993  0.6432  2 Ge 2.28-2.31
S  0.5501  0.3568  0.2007  2 Ge 2.28-2.31
S  0.0501  0.2007  0.3568  2 Ge 2.28-2.31
S  0.4499  0.6432  0.7993  2 Ge 2.28-2.31

Properties
- Symmetry: C2/c
- Energy: -4.826 eV/atom
- Energy relative to the elements, uncorrected: -0.413 eV/atom